Here is a geometry-optimized SrVO3 structure from Alexandria. Energies are from PBE with a Hubbard U.

Properties
Magnetic moment (μB per atom): 0.81
DFT total energy (eV per atom): -4.907

```
data_SrVO3
_space_group_name_H-M_alt 'P 1'
_space_group_IT_number 1
_space_group_name_Hall 'P 1'
_cell_length_a 4.442
_cell_length_b 4.442
_cell_length_c 4.442
_cell_angle_alpha 90.00
_cell_angle_beta 90.00
_cell_angle_gamma 90.00
loop_
_atom_site_label
_atom_site_fract_x
_atom_site_fract_y
_atom_site_fract_z
Sr1 0.000 0.000 0.000
O1 0.000 0.500 0.000
O2 0.000 0.000 0.500
O3 0.500 0.000 0.000
V1 0.500 0.500 0.500
```